Computed, not measured: an optimized crystal structure of SrMg12Hg6 at the PBE-GGA level of DFT.

a b c (Å): 8.106 8.106 8.106
angles (deg): 104.47 104.47 104.47
Sites, in units of the cell vectors:
Mg  0.428  0.167  0.428
Mg  0.428  0.428  0.167
Mg  0.881  0.119  0.500
Mg  0.833  0.572  0.572
Mg  0.500  0.881  0.119
Mg  0.572  0.572  0.833
Mg  0.167  0.428  0.428
Mg  0.119  0.881  0.500
Mg  0.500  0.119  0.881
Mg  0.119  0.500  0.881
Mg  0.881  0.500  0.119
Mg  0.572  0.833  0.572
Sr  0.000  0.000  0.000
Hg  0.747  0.747  0.291
Hg  0.709  0.253  0.253
Hg  0.291  0.747  0.747
Hg  0.747  0.291  0.747
Hg  0.253  0.709  0.253
Hg  0.253  0.253  0.709

Computed, not measured: an optimized crystal structure of SrMg2Hg8 at the PBE-GGA level of DFT.

a b c (Å): 7.141 7.141 6.334
angles (deg): 90.00 90.00 90.00
Sites, in units of the cell vectors:
Hg  0.786  0.214  0.252
Hg  0.214  0.214  0.252
Hg  0.214  0.786  0.252
Hg  0.786  0.214  0.748
Hg  0.786  0.786  0.748
Hg  0.214  0.786  0.748
Hg  0.786  0.786  0.252
Hg  0.214  0.214  0.748
Mg  0.500  0.000  0.000
Mg  0.000  0.500  0.000
Sr  0.500  0.500  0.500

Results
Energy above the most stable polymorph in this dataset (meV per atom): 74

Computed, not measured: an optimized crystal structure of SrMg3Hg at the PBE-GGA level of DFT.

a b c (Å): 6.061 6.416 7.650
angles (deg): 90.00 111.92 90.00
Sites, in units of the cell vectors:
Sr  0.731  0.948  0.929
Sr  0.303  0.448  0.631
Hg  0.147  0.948  0.746
Hg  0.887  0.448  0.815
Mg  0.300  0.687  0.092
Mg  0.300  0.209  0.092
Mg  0.735  0.709  0.469
Mg  0.210  0.948  0.396
Mg  0.824  0.448  0.164
Mg  0.735  0.187  0.469

Results
Energy above the most stable polymorph in this dataset (meV per atom): 0

Computed, not measured: an optimized crystal structure of Sr2Mg16Hg at the PBE-GGA level of DFT.

a b c (Å): 7.929 7.929 7.929
angles (deg): 82.86 82.86 82.86
Sites, in units of the cell vectors:
Mg  0.300  0.001  0.703
Mg  0.847  0.348  0.348
Mg  0.654  0.654  0.158
Mg  0.503  0.000  0.000
Mg  0.088  0.088  0.088
Mg  0.158  0.654  0.654
Mg  0.300  0.703  0.001
Mg  0.703  0.300  0.001
Mg  0.000  0.503  0.000
Mg  0.703  0.001  0.300
Mg  0.348  0.348  0.847
Mg  0.348  0.847  0.348
Mg  0.000  0.000  0.503
Mg  0.654  0.158  0.654
Mg  0.001  0.703  0.300
Mg  0.001  0.300  0.703
Sr  0.666  0.666  0.666
Sr  0.336  0.336  0.336
Hg  0.892  0.892  0.892

Computed, not measured: an optimized crystal structure of SrMg2Hg4 at the PBE-GGA level of DFT.

a b c (Å): 6.045 6.138 6.138
angles (deg): 75.96 60.49 60.49
Sites, in units of the cell vectors:
Sr  0.000  0.000  0.000
Mg  0.250  0.500  0.500
Mg  0.750  0.500  0.500
Hg  0.697  0.000  0.606
Hg  0.697  0.606  0.000
Hg  0.303  0.000  0.394
Hg  0.303  0.394  0.000

Computed, not measured: an optimized crystal structure of Sr3MgHg4 at the PBE-GGA level of DFT.

a b c (Å): 3.883 3.883 15.587
angles (deg): 90.00 90.00 90.00
Sites, in units of the cell vectors:
Hg  0.000  0.000  0.632
Hg  0.000  0.000  0.101
Hg  0.000  0.000  0.899
Hg  0.000  0.000  0.368
Sr  0.500  0.500  0.234
Sr  0.500  0.500  0.766
Sr  0.500  0.500  0.500
Mg  0.500  0.500  0.000

Computed, not measured: an optimized crystal structure of Sr4Mg2Hg at the PBE-GGA level of DFT.

a b c (Å): 7.137 7.137 7.137
angles (deg): 111.01 108.71 108.71
Sites, in units of the cell vectors:
Sr  0.500  0.500  0.500
Sr  0.000  0.500  0.000
Sr  0.500  0.000  0.000
Sr  0.000  0.000  0.500
Mg  0.500  0.000  0.500
Mg  0.500  0.500  0.000
Hg  0.000  0.000  0.000

Computed, not measured: an optimized crystal structure of Sr2MgHg at the PBE-GGA level of DFT.

a b c (Å): 9.997 9.997 9.997
angles (deg): 156.58 33.36 156.59
Sites, in units of the cell vectors:
Hg  0.500  0.000  0.500
Sr  0.666  0.000  0.666
Sr  0.334  0.000  0.334
Mg  0.000  0.000  0.000

Results
Energy above the most stable polymorph in this dataset (meV per atom): 201

Computed, not measured: an optimized crystal structure of Sr3MgHg2 at the PBE-GGA level of DFT.

a b c (Å): 4.064 4.064 12.146
angles (deg): 90.00 90.00 90.00
Sites, in units of the cell vectors:
Mg  0.500  0.500  0.500
Sr  0.000  0.000  0.000
Sr  0.000  0.000  0.679
Sr  0.000  0.000  0.321
Hg  0.500  0.500  0.166
Hg  0.500  0.500  0.834

Computed, not measured: an optimized crystal structure of Sr2Mg12Hg7 at the PBE-GGA level of DFT.

a b c (Å): 4.379 11.620 11.620
angles (deg): 120.00 90.00 90.00
Sites, in units of the cell vectors:
Hg  0.000  0.203  0.254
Hg  0.500  0.914  0.374
Hg  0.000  0.746  0.949
Hg  0.500  0.626  0.541
Hg  0.000  0.333  0.667
Hg  0.500  0.459  0.086
Hg  0.000  0.051  0.797
Mg  0.000  0.493  0.946
Mg  0.500  0.716  0.097
Mg  0.500  0.903  0.619
Mg  0.500  0.381  0.284
Mg  0.000  0.766  0.716
Mg  0.500  0.559  0.762
Mg  0.500  0.238  0.797
Mg  0.000  0.054  0.548
Mg  0.000  0.950  0.234
Mg  0.000  0.452  0.507
Mg  0.500  0.203  0.441
Mg  0.000  0.284  0.050
Sr  0.000  0.667  0.333
Sr  0.500  0.000  0.000

Computed, not measured: an optimized crystal structure of SrMgHg at the PBE-GGA level of DFT.

a b c (Å): 6.359 6.359 3.927
angles (deg): 72.01 72.01 35.97
Sites, in units of the cell vectors:
Mg  0.637  0.637  0.363
Sr  0.338  0.338  0.662
Hg  0.025  0.025  0.975

Computed, not measured: an optimized crystal structure of Sr5Mg4Hg at the PBE-GGA level of DFT.

a b c (Å): 4.116 4.116 20.954
angles (deg): 90.00 90.00 90.00
Sites, in units of the cell vectors:
Sr  0.500  0.500  0.297
Sr  0.500  0.500  0.908
Sr  0.500  0.500  0.703
Sr  0.500  0.500  0.092
Sr  0.500  0.500  0.500
Mg  0.000  0.000  0.601
Mg  0.000  0.000  0.399
Mg  0.000  0.000  0.196
Mg  0.000  0.000  0.804
Hg  0.000  0.000  0.000

Computed, not measured: an optimized crystal structure of Sr7Mg2Hg2 at the PBE-GGA level of DFT.

a b c (Å): 7.887 8.268 7.887
angles (deg): 90.00 109.35 90.00
Sites, in units of the cell vectors:
Sr  0.000  0.000  0.000
Sr  0.500  0.268  0.000
Sr  0.500  0.752  0.500
Sr  0.500  0.248  0.500
Sr  0.500  0.732  0.000
Sr  0.000  0.268  0.500
Sr  0.000  0.732  0.500
Mg  0.834  0.500  0.834
Mg  0.166  0.500  0.166
Hg  0.710  0.000  0.290
Hg  0.290  0.000  0.710

Computed, not measured: an optimized crystal structure of SrMg9Hg2 at the PBE-GGA level of DFT.

a b c (Å): 7.814 9.487 9.487
angles (deg): 80.24 65.68 65.68
Sites, in units of the cell vectors:
Mg  0.607  0.079  0.326
Mg  0.012  0.674  0.921
Mg  0.000  0.000  0.000
Mg  0.738  0.826  0.579
Mg  0.607  0.326  0.079
Mg  0.436  0.826  0.421
Mg  0.683  0.579  0.174
Mg  0.067  0.326  0.921
Mg  0.143  0.174  0.421
Mg  0.738  0.579  0.826
Mg  0.683  0.174  0.579
Mg  0.143  0.421  0.174
Mg  0.067  0.921  0.326
Mg  0.012  0.921  0.674
Mg  0.750  0.500  0.500
Mg  0.436  0.421  0.826
Mg  0.314  0.674  0.079
Mg  0.314  0.079  0.674
Hg  0.875  0.250  0.750
Hg  0.875  0.750  0.250
Hg  0.875  0.250  0.250
Hg  0.375  0.750  0.750
Sr  0.500  0.000  0.000
Sr  0.250  0.500  0.500

Computed, not measured: an optimized crystal structure of SrMg5Hg3 at the PBE-GGA level of DFT.

a b c (Å): 4.461 7.768 13.964
angles (deg): 90.00 90.00 106.69
Sites, in units of the cell vectors:
Hg  0.616  0.232  0.065
Hg  0.616  0.232  0.435
Hg  0.384  0.768  0.565
Hg  0.862  0.725  0.250
Hg  0.384  0.768  0.935
Hg  0.138  0.275  0.750
Mg  0.437  0.875  0.143
Mg  0.196  0.392  0.554
Mg  0.196  0.392  0.946
Mg  0.000  0.000  0.000
Mg  0.437  0.875  0.357
Mg  0.804  0.608  0.054
Mg  0.000  0.000  0.500
Mg  0.563  0.125  0.857
Mg  0.563  0.125  0.643
Mg  0.804  0.608  0.446
Sr  0.836  0.673  0.750
Sr  0.164  0.327  0.250

Computed, not measured: an optimized crystal structure of SrMg9Hg3 at the PBE-GGA level of DFT.

a b c (Å): 6.016 7.758 7.786
angles (deg): 81.63 67.27 67.86
Sites, in units of the cell vectors:
Mg  0.350  0.652  0.643
Mg  0.507  0.216  0.779
Mg  0.287  0.216  0.221
Mg  0.994  0.652  0.357
Mg  0.650  0.348  0.357
Mg  0.493  0.784  0.221
Mg  0.713  0.784  0.779
Mg  0.000  0.500  0.000
Mg  0.006  0.348  0.643
Hg  0.500  0.500  0.000
Hg  0.500  0.000  0.500
Hg  0.000  0.000  0.500
Sr  0.000  0.000  0.000

Computed, not measured: an optimized crystal structure of Sr2MgHg at the PBE-GGA level of DFT.

a b c (Å): 6.713 6.713 6.713
angles (deg): 136.69 136.69 62.91
Sites, in units of the cell vectors:
Hg  0.500  0.500  0.000
Sr  0.000  0.000  0.000
Sr  0.250  0.750  0.500
Mg  0.750  0.250  0.500

Results
Energy above the most stable polymorph in this dataset (meV per atom): 155

Computed, not measured: an optimized crystal structure of Sr2MgHg2 at the PBE-GGA level of DFT.

a b c (Å): 8.392 8.392 4.578
angles (deg): 90.00 90.00 90.00
Sites, in units of the cell vectors:
Sr  0.668  0.832  0.500
Sr  0.168  0.668  0.500
Sr  0.332  0.168  0.500
Sr  0.832  0.332  0.500
Hg  0.365  0.865  0.000
Hg  0.635  0.135  0.000
Hg  0.135  0.365  0.000
Hg  0.865  0.635  0.000
Mg  0.000  0.000  0.000
Mg  0.500  0.500  0.000

Results
Energy above the most stable polymorph in this dataset (meV per atom): 30

Computed, not measured: an optimized crystal structure of Sr3Mg7Hg2 at the PBE-GGA level of DFT.

a b c (Å): 6.360 6.360 10.538
angles (deg): 72.44 72.44 60.00
Sites, in units of the cell vectors:
Mg  0.421  0.421  0.235
Mg  0.076  0.579  0.765
Mg  0.579  0.076  0.765
Mg  0.579  0.579  0.765
Mg  0.500  0.500  0.500
Mg  0.924  0.421  0.235
Mg  0.421  0.924  0.235
Sr  0.000  0.000  0.000
Sr  0.144  0.144  0.569
Sr  0.856  0.856  0.431
Hg  0.666  0.666  0.002
Hg  0.334  0.334  0.998

Computed, not measured: an optimized crystal structure of Sr2MgHg2 at the PBE-GGA level of DFT.

a b c (Å): 4.405 4.405 9.765
angles (deg): 76.96 76.96 90.00
Sites, in units of the cell vectors:
Sr  0.609  0.609  0.781
Sr  0.391  0.391  0.219
Hg  0.250  0.750  0.500
Hg  0.750  0.250  0.500
Mg  0.000  0.000  0.000

Results
Energy above the most stable polymorph in this dataset (meV per atom): 238

Computed, not measured: an optimized crystal structure of Sr2MgHg at the PBE-GGA level of DFT.

a b c (Å): 4.270 4.270 10.223
angles (deg): 77.69 77.69 59.81
Sites, in units of the cell vectors:
Mg  0.500  0.500  0.499
Hg  0.667  0.667  0.001
Sr  0.076  0.076  0.772
Sr  0.258  0.258  0.228

Results
Energy above the most stable polymorph in this dataset (meV per atom): 160

Computed, not measured: an optimized crystal structure of Sr2MgHg at the PBE-GGA level of DFT.

a b c (Å): 5.579 5.579 5.579
angles (deg): 60.00 60.00 60.00
Sites, in units of the cell vectors:
Mg  0.750  0.750  0.750
Sr  0.000  0.000  0.000
Sr  0.250  0.250  0.250
Hg  0.500  0.500  0.500

Results
Energy above the most stable polymorph in this dataset (meV per atom): 179

Number 1: energy relative to the elements -162 meV per atom. Number 2: energy relative to the elements -131 meV per atom. Number 3: energy relative to the elements -197 meV per atom. Number 4: energy relative to the elements -78 meV per atom. Number 5: energy relative to the elements -330 meV per atom. Number 6: energy relative to the elements -441 meV per atom. Number 7: energy relative to the elements -100 meV per atom. Number 8: energy relative to the elements -98 meV per atom. Number 9: energy relative to the elements -374 meV per atom. Number 10: energy relative to the elements -286 meV per atom. Number 11: energy relative to the elements -295 meV per atom. Number 12: energy relative to the elements -152 meV per atom. Number 13: energy relative to the elements -99 meV per atom. Number 14: energy relative to the elements -162 meV per atom. Number 15: energy relative to the elements -252 meV per atom. Number 16: energy relative to the elements -162 meV per atom. Number 17: energy relative to the elements -143 meV per atom. Number 18: energy relative to the elements -393 meV per atom. Number 19: energy relative to the elements -198 meV per atom. Number 20: energy relative to the elements -185 meV per atom. Number 21: energy relative to the elements -139 meV per atom. Number 22: energy relative to the elements -119 meV per atom.